(1)
The following is a DFT calculation (PBE) of a relaxed KCoCl2 crystal.

The value obtained for the energy above the lowest structure with this stoichiometry is 0.13 eV/f.u. Its energy relative to the elements, uncorrected is -3.3 eV/f.u.

It has space group R-3m (No. 166, hexagonal axes), with a = 4.9598 Å, b = 4.9598 Å, c = 21.3437 Å, α = 90.00°, β = 90.00° and γ = 120.00°. The inequivalent atoms are K at (0.0000, 0.0000, 0.0000), Co at (0.0000, 0.0000, 0.5000) and Cl at (0.0000, 0.0000, 0.3996).

***

(2)
The following is a DFT calculation (PBE) of a relaxed KCoCl2 crystal.

The value obtained for the energy above the lowest structure with this stoichiometry is 1.89 eV/f.u. Its energy relative to the elements, uncorrected is -1.5 eV/f.u.

It has space group I-4m2 (No. 119), with a = 3.9401 Å, b = 3.9401 Å, c = 14.7536 Å, α = 90.00°, β = 90.00° and γ = 90.00°. The inequivalent atoms are K at (0.0000, 0.0000, 0.0000), Co at (0.0000, 0.5000, 0.2500), Cl at (0.0000, 0.0000, 0.5000) and Cl at (0.0000, 0.5000, 0.7500).

***

(3)
The following is a DFT calculation (PBE) of a relaxed KCoCl2 crystal.

The value obtained for the energy above the lowest structure with this stoichiometry is 0.78 eV/f.u. Its energy relative to the elements, uncorrected is -2.6 eV/f.u.

It has space group Cmmm (No. 65), with a = 3.7189 Å, b = 9.5842 Å, c = 7.6837 Å, α = 90.00°, β = 90.00° and γ = 90.00°. The inequivalent atoms are K at (0.0000, 0.0000, 0.0000), Co at (0.0000, 0.0000, 0.5000) and Cl at (0.0000, 0.5000, 0.3013).

***

(4)
The following is a DFT calculation (PBE) of a relaxed KCo2Cl crystal.

The value obtained for the energy above the lowest structure with this stoichiometry is 0.22 eV/f.u. Its energy relative to the elements, uncorrected is 0.4 eV/f.u.

It has space group Cm (No. 8), with a = 6.6567 Å, b = 3.3384 Å, c = 8.0324 Å, α = 90.00°, β = 109.13° and γ = 90.00°. The inequivalent atoms are K at (0.0000, 0.0000, 0.0000), Co at (0.0695, 0.5000, 0.4651), Co at (0.3374, 0.5000, 0.3413) and Cl at (0.1959, 0.0000, 0.7131).